[1]
A relaxed structure of RbTl2InF4. Source: Alexandria, functional PBE-GGA.

Cell lengths 8.011, 8.011, 7.993 Å; angles 119.92, 119.92, 89.94 degrees
Element x y z (fractional)
F (0.748, 0.253, 0.501)
F (0.252, 0.747, 0.499)
F (0.247, 0.752, 0.999)
F (0.753, 0.248, 0.001)
F (0.248, 0.251, 0.003)
F (0.751, 0.748, 0.503)
F (0.249, 0.252, 0.497)
F (0.752, 0.749, 0.997)
In (0.000, 0.000, 0.000)
In (0.500, 0.500, 0.500)
Tl (0.500, 0.000, 0.500)
Tl (0.500, 0.500, 0.000)
Tl (0.500, 0.000, 0.000)
Tl (0.000, 0.000, 0.500)
Rb (0.000, 0.500, 0.000)
Rb (0.000, 0.500, 0.500)

The space group is No. 74. The formation energy (no corrections) is -1.91 eV/atom.

---

[2]
A relaxed structure of RbTl2In3F12. Source: Alexandria, functional PBE-GGA.

Cell lengths 7.831, 7.831, 7.831 Å; angles 62.38, 62.38, 62.38 degrees
Element x y z (fractional)
Tl (0.637, 0.637, 0.637)
Tl (0.363, 0.363, 0.363)
F (0.135, 0.551, 0.135)
F (0.270, 0.270, 0.898)
F (0.865, 0.865, 0.449)
F (0.102, 0.730, 0.730)
F (0.730, 0.102, 0.730)
F (0.270, 0.898, 0.270)
F (0.135, 0.135, 0.551)
F (0.551, 0.135, 0.135)
F (0.898, 0.270, 0.270)
F (0.449, 0.865, 0.865)
F (0.730, 0.730, 0.102)
F (0.865, 0.449, 0.865)
In (0.000, 0.500, 0.000)
In (0.000, 0.000, 0.500)
In (0.500, 0.000, 0.000)
Rb (0.000, 0.000, 0.000)

The space group is No. 166. The formation energy (no corrections) is -2.44 eV/atom.

---

[3]
A relaxed structure of RbTlInF6. Source: Alexandria, functional PBE-GGA.

Cell lengths 6.198, 6.198, 11.257 Å; angles 90.00, 90.00, 120.00 degrees
Last column: magnetic moment on the atom in μB.
Element x y z (fractional)
F (0.964, 0.358, 0.646)  0.03
F (0.642, 0.036, 0.854)  0.03
F (0.394, 0.358, 0.854)  0.03
F (0.036, 0.642, 0.354)  0.03
F (0.394, 0.036, 0.646)  0.03
F (0.606, 0.642, 0.146)  0.03
F (0.642, 0.606, 0.646)  0.03
F (0.036, 0.394, 0.146)  0.03
F (0.964, 0.606, 0.854)  0.03
F (0.358, 0.964, 0.146)  0.03
F (0.606, 0.964, 0.354)  0.03
F (0.358, 0.394, 0.354)  0.03
In (0.333, 0.667, 0.250)  0.00
In (0.667, 0.333, 0.750)  0.00
Tl (0.333, 0.667, 0.750)  0.14
Tl (0.667, 0.333, 0.250)  0.14
Rb (0.000, 0.000, 0.000)  0.00
Rb (0.000, 0.000, 0.500)  0.00

The space group is No. 163. The formation energy (no corrections) is -2.33 eV/atom.

---

[4]
A relaxed structure of Rb2TlIn2F6. Source: Alexandria, functional PBE-GGA.

Cell lengths 6.970, 6.761, 8.503 Å; angles 124.00, 90.00, 121.03 degrees
Element x y z (fractional)
Rb (0.295, 0.589, 0.903)
Rb (0.705, 0.411, 0.097)
In (0.911, 0.821, 0.766)
In (0.089, 0.179, 0.234)
F (0.253, 0.506, 0.558)
F (0.269, 0.099, 0.784)
F (0.731, 0.901, 0.216)
F (0.170, 0.901, 0.216)
F (0.747, 0.494, 0.442)
F (0.830, 0.099, 0.784)
Tl (0.500, 0.000, 0.500)

The space group is No. 12. The formation energy (no corrections) is -2.16 eV/atom.

---

[5]
A relaxed structure of RbTmIn2F6. Source: Alexandria, functional PBE-GGA.

Cell lengths 7.150, 7.114, 6.982 Å; angles 54.08, 55.36, 54.08 degrees
Element x y z (fractional)
F (0.171, 0.449, 0.780)
F (0.176, 0.022, 0.335)
F (0.490, 0.583, 0.732)
F (0.636, 0.054, 0.872)
F (0.035, 0.612, 0.193)
F (0.577, 0.184, 0.210)
In (0.497, 0.588, 0.381)
In (0.981, 0.046, 0.866)
Tm (0.316, 0.316, 0.055)
Rb (0.783, 0.809, 0.590)

The space group is No. 1. The formation energy (no corrections) is -2.88 eV/atom.

---

[6]
A relaxed structure of Rb2TmInF6. Source: Alexandria, functional PBE-GGA.

Cell lengths 6.594, 6.783, 9.389 Å; angles 90.00, 89.86, 90.00 degrees
Element x y z (fractional)
F (0.827, 0.757, 0.940)
F (0.093, 0.455, 0.782)
F (0.764, 0.820, 0.540)
F (0.327, 0.743, 0.440)
F (0.236, 0.180, 0.460)
F (0.264, 0.680, 0.040)
F (0.907, 0.545, 0.218)
F (0.173, 0.243, 0.060)
F (0.736, 0.320, 0.960)
F (0.593, 0.045, 0.282)
F (0.407, 0.955, 0.718)
F (0.673, 0.257, 0.560)
Tm (0.500, 0.000, 0.500)
Tm (0.000, 0.500, 0.000)
In (0.500, 0.000, 0.000)
In (0.000, 0.500, 0.500)
Rb (0.012, 0.958, 0.253)
Rb (0.512, 0.542, 0.753)
Rb (0.488, 0.458, 0.247)
Rb (0.988, 0.042, 0.747)

The space group is No. 14. The formation energy (no corrections) is -3.12 eV/atom.